[1]
Below is crystalline LiPmI2O8 at its relaxed geometry, with properties calculated at the GGA-PBE level.

Formation energy (no corrections)   -987 meV/atom
Calculated volume   16.01 Å³/atom
Density of states at the Fermi level   1.7 states/eV per cell
Crystal system   tetragonal

a = 7.5231 Å, b = 7.5231 Å, c = 6.7912 Å
α = 90.00°, β = 90.00°, γ = 90.00°
Last column: nearest neighbours and their distance in Å.
Space group I-4m2 (No. 119)
One atom of each set of equivalent atoms:
Li 0.0000 0.0000 0.0000  8 O 2.41-2.57
Pm 0.0000 0.5000 0.7500  8 O 2.39-2.54
I 0.0000 0.0000 0.5000  4 O 1.89
I 0.0000 0.5000 0.2500  4 O 1.88
O 0.0000 0.1885 0.6844  1 I 1.89
O 0.0000 0.3155 0.0626  1 I 1.88



[2]
Below is crystalline LiPm2IO6 at its relaxed geometry, with properties calculated at the GGA-PBE level.

Formation energy (no corrections)   -2083 meV/atom
Calculated volume   14.37 Å³/atom
Density of states at the Fermi level   0.0 states/eV per cell
Crystal system   triclinic

a = 5.8711 Å, b = 5.8725 Å, c = 5.8732 Å
α = 60.15°, β = 60.17°, γ = 60.10°
Last column: nearest neighbours and their distance in Å.
Space group P1 (No. 1)
One atom of each set of equivalent atoms:
Li 0.0000 0.0000 0.0000  6 O 2.18-2.39
Pm 0.2111 0.2095 0.2119  6 O 2.37-2.39
Pm 0.7230 0.7221 0.7246  6 O 2.28-2.53
I 0.4982 0.4967 0.4995  6 O 2.01-2.24
O 0.1212 0.3691 0.7960  1 Li 2.18, 1 I 2.24, 2 Pm 2.28-2.37
O 0.3048 0.8347 0.6170  1 I 2.01
O 0.3706 0.7927 0.1231  1 Li 2.19, 1 I 2.23, 2 Pm 2.29-2.38
O 0.6158 0.3034 0.8372  1 I 2.01
O 0.7936 0.1208 0.3721  1 Li 2.19, 1 I 2.23, 2 Pm 2.29-2.38
O 0.8354 0.6140 0.3068  1 I 2.01



[3]
Below is crystalline LiPr2IO6 at its relaxed geometry, with properties calculated at the GGA-PBE level.

Formation energy (no corrections)   -2047 meV/atom
Calculated volume   14.42 Å³/atom
Density of states at the Fermi level   0.0 states/eV per cell
Crystal system   triclinic

a = 5.8360 Å, b = 5.8370 Å, c = 5.8382 Å
α = 61.14°, β = 61.16°, γ = 61.10°
Last column: nearest neighbours and their distance in Å.
Space group P1 (No. 1)
One atom of each set of equivalent atoms:
Li 0.0000 0.0000 0.0000  6 O 2.14-2.38
Pr 0.2155 0.2143 0.2158  6 O 2.43-2.44
Pr 0.7276 0.7271 0.7286  6 O 2.33-2.59
I 0.4954 0.4944 0.4962  6 O 2.01-2.23
O 0.1276 0.3576 0.7912  1 Li 2.14, 1 I 2.23, 1 Pr 2.33
O 0.2976 0.8250 0.6259  1 I 2.01
O 0.3586 0.7889 0.1288  1 Li 2.14, 1 I 2.23, 1 Pr 2.33
O 0.6253 0.2965 0.8265  1 I 2.01
O 0.7895 0.1274 0.3594  1 Li 2.14, 1 I 2.22, 1 Pr 2.33
O 0.8255 0.6240 0.2990  1 I 2.01



[4]
Below is crystalline Li2PuIO8 at its relaxed geometry, with properties calculated at the GGA-PBE level.

Formation energy (no corrections)   -1255 meV/atom
Calculated volume   12.25 Å³/atom
Density of states at the Fermi level   8.6 states/eV per cell
Crystal system   tetragonal

a = 6.2781 Å, b = 6.2781 Å, c = 7.4598 Å
α = 90.00°, β = 90.00°, γ = 90.00°
Last column: nearest neighbours and their distance in Å.
Space group I-4m2 (No. 119)
One atom of each set of equivalent atoms:
Li 0.0000 0.0000 0.0000  4 O 2.05
Li 0.0000 0.5000 0.2500  4 O 1.95
Pu 0.0000 0.5000 0.7500  4 O 1.91
I 0.0000 0.0000 0.5000  4 O 1.87
O 0.0000 0.1989 0.7824  1 Pu 1.91, 1 Li 2.05
O 0.0000 0.2900 0.4429  1 I 1.87, 1 Li 1.95



[5]
Below is crystalline Li2PuIO6 at its relaxed geometry, with properties calculated at the GGA-PBE level.

Formation energy (no corrections)   -1582 meV/atom
Calculated volume   15.29 Å³/atom
Density of states at the Fermi level   7.2 states/eV per cell
Crystal system   tetragonal

a = 5.9931 Å, b = 5.9931 Å, c = 4.2569 Å
α = 90.00°, β = 90.00°, γ = 90.00°
Last column: nearest neighbours and their distance in Å.
Space group P4mm (No. 99)
One atom of each set of equivalent atoms:
Li 0.0000 0.5000 0.0000  4 O 2.16
Pu 0.0000 0.0000 0.8719  6 O 2.10-2.16
I 0.5000 0.5000 0.8682  1 O 1.80
O 0.0000 0.0000 0.3796  2 Pu 2.10-2.16
O 0.2536 0.2536 0.9043  1 I 2.09, 1 Pu 2.15, 2 Li 2.16
O 0.5000 0.5000 0.4459  1 I 1.80



[6]
Below is crystalline Li2PuI2O2 at its relaxed geometry, with properties calculated at the GGA-PBE level.

Formation energy (no corrections)   -1614 meV/atom
Calculated volume   27.29 Å³/atom
Density of states at the Fermi level   0.5 states/eV per cell
Crystal system   monoclinic

a = 11.8635 Å, b = 4.1818 Å, c = 8.5787 Å
α = 90.00°, β = 116.16°, γ = 90.00°
Last column: nearest neighbours and their distance in Å.
Space group C2/m (No. 12)
One atom of each set of equivalent atoms:
Li 0.2401 0.0000 0.1081  1 O 1.95
Pu 0.0000 0.5000 0.0000  2 O 1.94
I 0.0712 0.0000 0.2991  1 Li 3.10, 2 Pu 3.12
O 0.1743 0.5000 0.0412  1 Pu 1.94, 1 Li 1.95



[7]
Below is crystalline Rb2Li3IO6 at its relaxed geometry, with properties calculated at the GGA-PBE level.

Formation energy (no corrections)   -1348 meV/atom
Calculated volume   15.29 Å³/atom
Density of states at the Fermi level   0.0 states/eV per cell
Crystal system   monoclinic

a = 6.1920 Å, b = 12.6301 Å, c = 5.2263 Å
α = 90.00°, β = 116.10°, γ = 90.00°
Last column: nearest neighbours and their distance in Å.
Space group C2/m (No. 12)
One atom of each set of equivalent atoms:
Rb 0.0000 0.1814 0.0000  6 O 2.83-3.02
Li 0.0000 0.0000 0.5000  4 O 2.20
Li 0.0000 0.4074 0.5000  4 O 1.95-2.06
I 0.0000 0.5000 0.0000  6 O 1.90-1.93
O 0.1949 0.3938 0.2686  1 I 1.93, 1 Li 2.06
O 0.2031 0.5000 0.8127  1 I 1.90, 2 Li 1.95



[8]
Below is crystalline RbLiIO4 at its relaxed geometry, with properties calculated at the GGA-PBE level.

Formation energy (no corrections)   -952 meV/atom
Calculated volume   19.33 Å³/atom
Density of states at the Fermi level   2.0 states/eV per cell
Crystal system   monoclinic

a = 5.2051 Å, b = 6.3137 Å, c = 8.5810 Å
α = 90.00°, β = 106.37°, γ = 90.00°
Last column: nearest neighbours and their distance in Å.
Space group P2_1/m (No. 11)
One atom of each set of equivalent atoms:
Rb 0.0802 0.2500 0.1534  8 O 2.89-3.23, 1 Li 3.22
Li 0.3392 0.7500 0.5843  3 O 1.93-1.95
I 0.4212 0.2500 0.7266  4 O 1.83-1.92
O 0.2124 0.7500 0.2025  1 I 1.83
O 0.3540 0.5450 0.7561  1 I 1.92, 1 Li 1.95
O 0.3589 0.2500 0.5052  1 I 1.83, 1 Li 1.93



Which value of formation energy (no corrections) does entry 3 give? -2047 meV/atom